No. 1
Computed, not measured: a relaxed structure of KMg2 at the PBE level of DFT.

Its total energy is -1.21 eV/atom. For the formation energy, the calculation gives 0.223 eV/atom.

Lattice parameters (Å, degrees): 5.7274 5.7274 3.5649 90.09 90.09 60.07
Fractional coordinates of all 3 atoms:
K (0.0000, 0.0000, 0.0000)
Mg (0.3333, 0.3333, 0.5000)
Mg (0.6667, 0.6667, 0.5000)

***

No. 2
Computed, not measured: a relaxed structure of KMg4 at the PBE level of DFT.

Its total energy is -0.52 eV/atom. For the formation energy, the calculation gives 0.980 eV/atom. The offset from the most stable computed form is 3.96 eV/f.u.

Lattice parameters (Å, degrees): 6.3214 6.3214 6.3214 90.00 90.00 90.00
Fractional coordinates of all 5 atoms:
K (0.0000, 0.0000, 0.0000)
Mg (0.0000, 0.0000, 0.5000)
Mg (0.0000, 0.5000, 0.0000)
Mg (0.5000, 0.0000, 0.0000)
Mg (0.5000, 0.5000, 0.5000)

***

No. 3
Computed, not measured: a relaxed structure of KMg4 at the PBE level of DFT.

Its total energy is -1.30 eV/atom. For the formation energy, the calculation gives 0.197 eV/atom. The offset from the most stable computed form is 0.05 eV/f.u.

Lattice parameters (Å, degrees): 7.8432 7.8432 7.8432 144.67 144.67 50.83
Fractional coordinates of all 5 atoms:
K (0.0000, 0.0000, 0.0000)
Mg (0.2500, 0.7500, 0.5000)
Mg (0.3912, 0.3912, 0.0000)
Mg (0.6088, 0.6088, 0.0000)
Mg (0.7500, 0.2500, 0.5000)

***

Computed values of spin magnetization (unit: Bohr magnetons per cell) for the preceding records, in sequence: 0.000; 0.000; 0.000.